Record 1
Material: YSi3Ru3
Method: DFT, GGA-PBE
State: optimized geometry Values from VASP.

The structure in Quantum ESPRESSO input format:
```
&SYSTEM
  ibrav = 0, nat = 14, ntyp = 3
/
ATOMIC_SPECIES
Y 88.91 Y.upf
Si 28.09 Si.upf
Ru 101.07 Ru.upf
ATOMIC_POSITIONS crystal
Y 0.166 0.166 0.166
Y 0.834 0.834 0.834
Si 0.161 0.383 0.679
Si 0.321 0.839 0.617
Si 0.383 0.679 0.161
Si 0.617 0.321 0.839
Si 0.679 0.161 0.383
Si 0.839 0.617 0.321
Ru 0.024 0.250 0.583
Ru 0.250 0.583 0.024
Ru 0.417 0.976 0.750
Ru 0.583 0.024 0.250
Ru 0.750 0.417 0.976
Ru 0.976 0.750 0.417
CELL_PARAMETERS angstrom
3.285 1.896 6.680
-3.285 1.896 6.680
0.000 -3.793 6.680
```

Total moment   0.00 μB per cell
Formation energy without anion corrections   -2.905 eV per formula unit
DFT total energy   -106.93 eV for the cell shown

---

Record 2
Material: YSi2Ru
Method: DFT, GGA-PBE
State: optimized geometry Values from VASP.

The structure in Quantum ESPRESSO input format:
```
&SYSTEM
  ibrav = 0, nat = 8, ntyp = 3
/
ATOMIC_SPECIES
Y 88.91 Y.upf
Si 28.09 Si.upf
Ru 101.07 Ru.upf
ATOMIC_POSITIONS crystal
Y 0.000 0.000 0.000
Y 0.500 0.500 0.000
Si 0.213 0.000 0.639
Si 0.287 0.500 0.361
Si 0.713 0.500 0.639
Si 0.787 0.000 0.361
Ru 0.000 0.500 0.500
Ru 0.500 0.000 0.500
CELL_PARAMETERS angstrom
7.046 0.000 0.000
0.000 4.050 0.000
-2.328 0.000 4.948
```

Total moment   0.00 μB per cell
Formation energy without anion corrections   -3.023 eV per formula unit
DFT total energy   -59.22 eV for the cell shown

---

Record 3
Material: Y2Si3Ru
Method: DFT, GGA-PBE
State: optimized geometry Values from VASP.

The structure in Quantum ESPRESSO input format:
```
&SYSTEM
  ibrav = 0, nat = 12, ntyp = 3
/
ATOMIC_SPECIES
Y 88.91 Y.upf
Si 28.09 Si.upf
Ru 101.07 Ru.upf
ATOMIC_POSITIONS crystal
Y 0.244 0.756 0.756
Y 0.250 0.250 0.250
Y 0.750 0.750 0.750
Y 0.756 0.244 0.244
Si 0.165 0.667 0.333
Si 0.332 0.332 0.668
Si 0.333 0.835 0.165
Si 0.667 0.165 0.835
Si 0.668 0.668 0.332
Si 0.835 0.333 0.667
Ru 0.166 0.166 0.834
Ru 0.834 0.834 0.166
CELL_PARAMETERS angstrom
0.000 4.123 7.087
3.987 0.000 7.087
3.987 4.123 0.000
```

Total moment   0.00 μB per cell
Formation energy without anion corrections   -4.408 eV per formula unit
DFT total energy   -85.76 eV for the cell shown

---

Record 4
Material: YSi4Ru4
Method: DFT, GGA-PBE
State: optimized geometry Values from VASP.

The structure in Quantum ESPRESSO input format:
```
&SYSTEM
  ibrav = 0, nat = 18, ntyp = 3
/
ATOMIC_SPECIES
Y 88.91 Y.upf
Si 28.09 Si.upf
Ru 101.07 Ru.upf
ATOMIC_POSITIONS crystal
Y 0.250 0.750 0.250
Y 0.750 0.250 0.750
Si 0.054 0.250 0.083
Si 0.250 0.054 0.583
Si 0.250 0.446 0.583
Si 0.446 0.250 0.083
Si 0.554 0.750 0.917
Si 0.750 0.554 0.417
Si 0.750 0.946 0.417
Si 0.946 0.750 0.917
Ru 0.000 0.250 0.386
Ru 0.000 0.750 0.614
Ru 0.250 0.000 0.886
Ru 0.250 0.500 0.886
Ru 0.500 0.250 0.386
Ru 0.500 0.750 0.614
Ru 0.750 0.000 0.114
Ru 0.750 0.500 0.114
CELL_PARAMETERS angstrom
5.970 0.000 0.000
0.000 5.970 0.000
0.000 0.000 7.902
```

Total moment   0.00 μB per cell
Formation energy without anion corrections   -5.917 eV per formula unit
DFT total energy   -142.35 eV for the cell shown

---

Record 5
Material: Y2SiRu
Method: DFT, GGA-PBE
State: optimized geometry Values from VASP.

The structure in Quantum ESPRESSO input format:
```
&SYSTEM
  ibrav = 0, nat = 4, ntyp = 3
/
ATOMIC_SPECIES
Y 88.91 Y.upf
Si 28.09 Si.upf
Ru 101.07 Ru.upf
ATOMIC_POSITIONS crystal
Y 0.000 0.000 0.000
Y 0.500 0.500 0.377
Si 0.500 0.500 0.753
Ru 0.000 0.000 0.620
CELL_PARAMETERS angstrom
3.219 0.000 0.000
0.000 3.219 0.000
0.000 0.000 8.257
```

Total moment   0.00 μB per cell
Formation energy without anion corrections   -1.593 eV per formula unit
DFT total energy   -29.22 eV for the cell shown

---

Record 6
Material: YSi2Ru
Method: DFT, GGA-PBE
State: optimized geometry Values from VASP.

The structure in Quantum ESPRESSO input format:
```
&SYSTEM
  ibrav = 0, nat = 8, ntyp = 3
/
ATOMIC_SPECIES
Y 88.91 Y.upf
Si 28.09 Si.upf
Ru 101.07 Ru.upf
ATOMIC_POSITIONS crystal
Y 0.000 0.000 0.000
Y 0.500 0.500 0.500
Si 0.000 0.000 0.500
Si 0.000 0.500 0.250
Si 0.500 0.000 0.750
Si 0.500 0.500 0.000
Ru 0.000 0.500 0.750
Ru 0.500 0.000 0.250
CELL_PARAMETERS angstrom
3.996 0.000 0.000
0.000 3.996 0.000
0.000 0.000 8.476
```

Total moment   0.00 μB per cell
Formation energy without anion corrections   -0.586 eV per formula unit
DFT total energy   -54.34 eV for the cell shown

---

Record 7
Material: Y2SiRu
Method: DFT, GGA-PBE
State: optimized geometry Values from VASP.

The structure in Quantum ESPRESSO input format:
```
&SYSTEM
  ibrav = 0, nat = 8, ntyp = 3
/
ATOMIC_SPECIES
Y 88.91 Y.upf
Si 28.09 Si.upf
Ru 101.07 Ru.upf
ATOMIC_POSITIONS crystal
Y 0.000 0.000 0.000
Y 0.000 0.500 0.500
Y 0.500 0.000 0.281
Y 0.500 0.500 0.781
Si 0.500 0.000 0.580
Si 0.500 0.500 0.080
Ru 0.000 0.000 0.718
Ru 0.000 0.500 0.218
CELL_PARAMETERS angstrom
3.902 0.000 0.000
0.000 4.218 0.000
0.000 0.000 10.725
```

Total moment   0.00 μB per cell
Formation energy without anion corrections   -2.519 eV per formula unit
DFT total energy   -60.29 eV for the cell shown

---

Record 8
Material: YSi3Ru5
Method: DFT, GGA-PBE
State: optimized geometry Values from VASP.

The structure in Quantum ESPRESSO input format:
```
&SYSTEM
  ibrav = 0, nat = 18, ntyp = 3
/
ATOMIC_SPECIES
Y 88.91 Y.upf
Si 28.09 Si.upf
Ru 101.07 Ru.upf
ATOMIC_POSITIONS crystal
Y 0.155 0.845 0.750
Y 0.845 0.155 0.250
Si 0.139 0.861 0.250
Si 0.368 0.632 0.053
Si 0.368 0.632 0.447
Si 0.632 0.368 0.553
Si 0.632 0.368 0.947
Si 0.861 0.139 0.750
Ru 0.000 0.000 0.000
Ru 0.000 0.000 0.500
Ru 0.193 0.807 0.081
Ru 0.193 0.807 0.419
Ru 0.471 0.529 0.655
Ru 0.471 0.529 0.845
Ru 0.529 0.471 0.155
Ru 0.529 0.471 0.345
Ru 0.807 0.193 0.581
Ru 0.807 0.193 0.919
CELL_PARAMETERS angstrom
1.506 -6.584 0.000
1.506 6.584 0.000
0.000 0.000 13.934
```

Total moment   0.00 μB per cell
Formation energy without anion corrections   -3.790 eV per formula unit
DFT total energy   -145.80 eV for the cell shown

---

Record 9
Material: Y2Si7Ru12
Method: DFT, GGA-PBE
State: optimized geometry Values from VASP.

The structure in Quantum ESPRESSO input format:
```
&SYSTEM
  ibrav = 0, nat = 21, ntyp = 3
/
ATOMIC_SPECIES
Y 88.91 Y.upf
Si 28.09 Si.upf
Ru 101.07 Ru.upf
ATOMIC_POSITIONS crystal
Y 0.000 0.000 0.000
Y 0.333 0.667 0.500
Si 0.073 0.450 0.000
Si 0.268 0.226 0.500
Si 0.377 0.927 0.000
Si 0.550 0.623 0.000
Si 0.667 0.333 0.000
Si 0.774 0.042 0.500
Si 0.958 0.732 0.500
Ru 0.050 0.286 0.500
Ru 0.097 0.708 0.000
Ru 0.236 0.950 0.500
Ru 0.292 0.390 0.000
Ru 0.390 0.180 0.000
Ru 0.555 0.431 0.500
Ru 0.569 0.125 0.500
Ru 0.610 0.903 0.000
Ru 0.714 0.764 0.500
Ru 0.790 0.610 0.000
Ru 0.820 0.210 0.000
Ru 0.875 0.445 0.500
CELL_PARAMETERS angstrom
9.607 0.000 0.000
-4.804 8.320 0.000
0.000 0.000 3.940
```

Total moment   0.00 μB per cell
Formation energy without anion corrections   -12.420 eV per formula unit
DFT total energy   -174.62 eV for the cell shown

---

Record 10
Material: Y2Si9Ru3
Method: DFT, GGA-PBE
State: optimized geometry Values from VASP.

The structure in Quantum ESPRESSO input format:
```
&SYSTEM
  ibrav = 0, nat = 28, ntyp = 3
/
ATOMIC_SPECIES
Y 88.91 Y.upf
Si 28.09 Si.upf
Ru 101.07 Ru.upf
ATOMIC_POSITIONS crystal
Y 0.086 0.251 0.251
Y 0.251 0.086 0.751
Y 0.749 0.914 0.249
Y 0.914 0.749 0.749
Si 0.028 0.857 0.078
Si 0.143 0.972 0.422
Si 0.198 0.362 0.580
Si 0.225 0.582 0.249
Si 0.309 0.477 0.929
Si 0.362 0.198 0.080
Si 0.392 0.608 0.750
Si 0.418 0.775 0.251
Si 0.477 0.309 0.429
Si 0.523 0.691 0.571
Si 0.582 0.225 0.749
Si 0.608 0.392 0.250
Si 0.638 0.802 0.920
Si 0.691 0.523 0.071
Si 0.775 0.418 0.751
Si 0.802 0.638 0.420
Si 0.857 0.028 0.578
Si 0.972 0.143 0.922
Ru 0.000 0.500 0.000
Ru 0.178 0.663 0.500
Ru 0.337 0.822 0.000
Ru 0.500 0.000 0.500
Ru 0.663 0.178 0.000
Ru 0.822 0.337 0.500
CELL_PARAMETERS angstrom
6.476 -3.716 0.000
6.476 3.716 0.000
-4.368 0.000 8.910
```

Total moment   0.00 μB per cell
Formation energy without anion corrections   -6.949 eV per formula unit
DFT total energy   -193.02 eV for the cell shown

---

Record 11
Material: Y2SiRu
Method: DFT, GGA-PBE
State: optimized geometry Values from VASP.

The structure in Quantum ESPRESSO input format:
```
&SYSTEM
  ibrav = 0, nat = 4, ntyp = 3
/
ATOMIC_SPECIES
Y 88.91 Y.upf
Si 28.09 Si.upf
Ru 101.07 Ru.upf
ATOMIC_POSITIONS crystal
Y 0.000 0.000 0.000
Y 0.500 0.500 0.389
Si 0.500 0.500 0.884
Ru 0.000 0.000 0.479
CELL_PARAMETERS angstrom
3.426 0.000 0.000
0.000 4.591 0.000
0.000 0.000 5.787
```

Total moment   0.00 μB per cell
Formation energy without anion corrections   -0.371 eV per formula unit
DFT total energy   -28.00 eV for the cell shown

---

Record 12
Material: Y2SiRu
Method: DFT, GGA-PBE
State: optimized geometry Values from VASP.

The structure in Quantum ESPRESSO input format:
```
&SYSTEM
  ibrav = 0, nat = 8, ntyp = 3
/
ATOMIC_SPECIES
Y 88.91 Y.upf
Si 28.09 Si.upf
Ru 101.07 Ru.upf
ATOMIC_POSITIONS crystal
Y 0.208 0.250 0.423
Y 0.280 0.750 0.063
Y 0.720 0.250 0.937
Y 0.792 0.750 0.577
Si 0.353 0.750 0.719
Si 0.647 0.250 0.281
Ru 0.130 0.250 0.781
Ru 0.870 0.750 0.219
CELL_PARAMETERS angstrom
5.872 0.000 0.000
0.000 3.789 0.000
-2.489 0.000 7.938
```

Total moment   0.00 μB per cell
Formation energy without anion corrections   -2.446 eV per formula unit
DFT total energy   -60.15 eV for the cell shown